Version i
This record from the Alexandria database describes crystalline TmMg3Pd at its relaxed geometry. The functional is PBE.

Unit cell a=5.3706 b=5.7948 c=7.8283 alpha=90.00 beta=114.72 gamma=90.00
Last column: nearest neighbours and their distance in Å.
Element x y z (fractional)
1 Mg 0.7040 0.6961 0.4860  2 Pd 2.77-2.81, 3 Mg 2.88-3.00
2 Pd 0.1528 0.9476 0.7418  5 Mg 2.77-2.81, 4 Tm 2.82-3.10
3 Tm 0.7303 0.9476 0.8819  4 Pd 2.82-3.10
4 Pd 0.8815 0.4476 0.8188  5 Mg 2.77-2.81, 4 Tm 2.82-3.10
5 Tm 0.3040 0.4476 0.6787  4 Pd 2.82-3.10
6 Mg 0.1321 0.9476 0.3771  1 Pd 2.81, 2 Mg 3.13
7 Mg 0.3304 0.1961 0.0746  2 Pd 2.77-2.81, 3 Mg 2.88-3.00
8 Mg 0.3304 0.6991 0.0746  2 Pd 2.77-2.81, 3 Mg 2.88-3.00
9 Mg 0.9023 0.4476 0.1835  1 Pd 2.81, 2 Mg 3.13
10 Mg 0.7040 0.1991 0.4860  2 Pd 2.77-2.81, 3 Mg 2.88-3.00

Properties
Calculated density = 5.23 g cm⁻³

***

Version ii
This record from the Alexandria database describes crystalline TmMg3Pd at its relaxed geometry. The functional is PBE.

Unit cell a=4.6243 b=4.6668 c=5.8925 alpha=113.33 beta=90.00 gamma=90.00
Last column: nearest neighbours and their distance in Å.
Element x y z (fractional)
1 Mg 0.0000 0.2575 0.5149  2 Pd 2.71, 1 Mg 3.02
2 Mg 0.0000 0.5370 0.0740  2 Pd 2.82, 1 Mg 3.02
3 Tm 0.5000 0.0350 0.0700  2 Pd 2.83, 1 Mg 3.16
4 Mg 0.5000 0.7428 0.4856  2 Pd 2.81
5 Pd 0.5000 0.3879 0.7757  6 Mg 2.71-2.82, 2 Tm 2.83

Properties
Calculated density = 4.95 g cm⁻³

***

Which is the most stable structure? version i is the most stable.

***

Version i
This record from the Alexandria database describes crystalline MgVPd4 at its relaxed geometry. The functional is PBE.

Unit cell a=2.8139 b=2.8139 c=11.4706 alpha=90.00 beta=90.00 gamma=90.00
Last column: nearest neighbours and their distance in Å.
Element x y z (fractional)
1 Mg 0.0000 0.0000 0.0000  8 Pd 2.74, 4 Mg 2.81
2 V 0.5000 0.5000 0.5000  8 Pd 2.68, 4 V 2.81
3 Pd 0.5000 0.5000 0.1638  4 Mg 2.74, 8 Pd 2.81-2.87
4 Pd 0.0000 0.0000 0.6561  4 V 2.68, 8 Pd 2.81-2.87
5 Pd 0.5000 0.5000 0.8362  4 Mg 2.74, 8 Pd 2.81-2.87
6 Pd 0.0000 0.0000 0.3439  4 V 2.68, 8 Pd 2.81-2.87

Properties
Calculated density = 9.16 g cm⁻³

***

Version ii
This record from the Alexandria database describes crystalline MgVPd4 at its relaxed geometry. The functional is PBE.

Unit cell a=6.6839 b=5.6158 c=5.6158 alpha=90.00 beta=90.00 gamma=90.00
Last column: nearest neighbours and their distance in Å.
Element x y z (fractional)
1 Mg 0.0000 0.2500 0.7506  8 Pd 2.67
2 Mg 0.0000 0.7500 0.2494  8 Pd 2.67
3 Pd 0.7316 0.0000 0.0000  2 V 2.52, 2 Mg 2.67, 4 Pd 2.81
4 Pd 0.7323 0.0000 0.5000  2 V 2.52, 2 Mg 2.67, 4 Pd 2.81
5 Pd 0.7316 0.5000 0.0000  2 V 2.52, 2 Mg 2.67, 4 Pd 2.81
6 V 0.5000 0.7500 0.7494  8 Pd 2.52
7 Pd 0.2677 0.5000 0.5000  2 V 2.52, 2 Mg 2.67, 4 Pd 2.81
8 Pd 0.2684 0.5000 0.0000  2 V 2.52, 2 Mg 2.67, 4 Pd 2.81
9 Pd 0.2677 0.0000 0.5000  2 V 2.52, 2 Mg 2.67, 4 Pd 2.81
10 V 0.5000 0.2500 0.2506  8 Pd 2.52
11 Pd 0.7323 0.5000 0.5000  2 V 2.52, 2 Mg 2.67, 4 Pd 2.81
12 Pd 0.2684 0.0000 0.0000  2 V 2.52, 2 Mg 2.67, 4 Pd 2.81

Properties
Calculated density = 7.89 g cm⁻³

***

Which is the most stable structure? version i is the most stable.

***

Version i
This record from the Alexandria database describes crystalline MgPdW at its relaxed geometry. The functional is PBE.

Unit cell a=4.5314 b=2.7952 c=7.8042 alpha=83.08 beta=90.00 gamma=90.00
Last column: nearest neighbours and their distance in Å.
Element x y z (fractional)
1 Pd 0.7919 0.8521 0.8849  6 Mg 2.74-2.92, 4 Pd 2.77-2.80, 2 W 2.92-2.99
2 W 0.7919 0.2670 0.2208  4 W 2.73-2.80, 6 Pd 2.76-2.99, 1 Mg 2.84
3 Mg 0.7917 0.5090 0.5643  2 Pd 2.79-2.92, 4 Mg 2.80-2.83, 5 W 2.84-3.01
4 Pd 0.2919 0.7445 0.0905  5 W 2.65-2.94, 2 Mg 2.75-2.79, 4 Pd 2.77-2.80
5 W 0.2918 0.0097 0.4055  1 Pd 2.65, 4 W 2.73-2.80, 2 Mg 2.86-2.87
6 Mg 0.2917 0.3606 0.7819  6 Pd 2.74-2.82, 4 Mg 2.80-2.83

Properties
Calculated density = 10.65 g cm⁻³

***

Version ii
This record from the Alexandria database describes crystalline MgPdW at its relaxed geometry. The functional is PBE.

Unit cell a=8.0283 b=5.1982 c=4.6397 alpha=90.00 beta=90.00 gamma=90.00
Last column: nearest neighbours and their distance in Å.
Element x y z (fractional)
1 Pd 0.3332 0.2500 0.0000  5 Mg 2.60-2.68
2 Pd 0.6668 0.7500 0.0000  5 Mg 2.60-2.68
3 W 0.0000 0.5000 0.0000  2 W 2.60
4 Mg 0.6665 0.2500 0.0000  5 Pd 2.60-2.68
5 Pd 0.8332 0.2500 0.5000  5 Mg 2.60-2.68
6 Mg 0.3335 0.7500 0.0000  5 Pd 2.60-2.68
7 W 0.0000 0.0000 0.0000  2 W 2.60
8 W 0.5000 0.5000 0.5000  2 W 2.60
9 Pd 0.1668 0.7500 0.5000  5 Mg 2.60-2.68
10 Mg 0.8335 0.7500 0.5000  5 Pd 2.60-2.68
11 Mg 0.1665 0.2500 0.5000  5 Pd 2.60-2.68
12 W 0.5000 0.0000 0.5000  2 W 2.60

Properties
Calculated density = 10.79 g cm⁻³

***

Version iii
This record from the Alexandria database describes crystalline MgPdW at its relaxed geometry. The functional is PBE.

Unit cell a=4.2937 b=4.2937 c=4.2937 alpha=60.00 beta=60.00 gamma=60.00
Last column: nearest neighbours and their distance in Å.
Element x y z (fractional)
1 Mg 0.7500 0.7500 0.7500  4 Pd 2.63
2 W 0.2500 0.2500 0.2500  4 Pd 2.63
3 Pd 0.5000 0.5000 0.5000  4 W 2.63, 4 Mg 2.63

Properties
Calculated density = 9.33 g cm⁻³

***

Which is the most stable structure? version i is the most stable.